The following is a PBE calculation of a relaxed Ca2PuGa4Pt3 crystal, from Alexandria via LeMat-Bulk.

Computed properties:
ρ = 9.315 g cm⁻³
Calculated formation energy = -0.688 eV/atom
Energy = -5.545 eV per atom
Total magnetic moment = 5.6 μB/f.u.

```
Ca2PuGa4Pt3
1.0
4.179 0.000 0.000
0.000 4.179 0.000
0.000 0.000 12.127
Ca Pu Ga Pt
2 1 4 3
direct
0.000 0.500 0.221
0.500 0.000 0.779
0.000 0.000 0.500
0.000 0.000 0.000
0.000 0.500 0.672
0.500 0.000 0.328
0.500 0.500 0.000
0.000 0.500 0.876
0.500 0.000 0.124
0.500 0.500 0.500
```


The following is a PBE calculation of a relaxed CaPu2Ga3Pt4 crystal, from Alexandria via LeMat-Bulk.

Computed properties:
ρ = 12.448 g cm⁻³
Calculated formation energy = -0.714 eV/atom
Energy = -7.105 eV per atom
Total magnetic moment = 11.2 μB/f.u.

```
CaPu2Ga3Pt4
1.0
4.144 0.000 0.000
0.000 4.144 0.000
0.000 0.000 11.788
Ca Pu Ga Pt
1 2 3 4
direct
0.000 0.000 0.000
0.000 0.500 0.736
0.500 0.000 0.264
0.000 0.500 0.375
0.500 0.000 0.625
0.500 0.500 0.000
0.000 0.000 0.500
0.000 0.500 0.163
0.500 0.000 0.837
0.500 0.500 0.500
```


The following is a PBE calculation of a relaxed CaPuGaPt crystal, from Alexandria via LeMat-Bulk.

Computed properties:
ρ = 10.142 g cm⁻³
Calculated formation energy = -0.529 eV/atom
Energy = -6.880 eV per atom
Total magnetic moment = 5.4 μB/f.u.

```
CaPuGaPt
1.0
0.000 3.555 3.555
3.555 0.000 3.555
3.555 3.555 0.000
Ca Pu Ga Pt
1 1 1 1
direct
0.000 0.000 0.000
0.500 0.500 0.500
0.750 0.750 0.750
0.250 0.250 0.250
```


The following is a PBE calculation of a relaxed Ca2PuGa3Pt4 crystal, from Alexandria via LeMat-Bulk.

Computed properties:
ρ = 10.551 g cm⁻³
Calculated formation energy = -0.803 eV/atom
Energy = -5.961 eV per atom
Total magnetic moment = 5.5 μB/f.u.

```
Ca2PuGa3Pt4
1.0
4.248 0.000 0.000
0.000 4.248 0.000
0.000 0.000 11.456
Ca Pu Ga Pt
2 1 3 4
direct
0.000 0.500 0.230
0.500 0.000 0.770
0.000 0.000 0.500
0.000 0.500 0.875
0.500 0.000 0.125
0.500 0.500 0.500
0.000 0.000 0.000
0.000 0.500 0.658
0.500 0.000 0.342
0.500 0.500 0.000
```


The following is a PBE calculation of a relaxed RbCaGa2Pt crystal, from Alexandria via LeMat-Bulk.

Computed properties:
ρ = 5.488 g cm⁻³
Calculated formation energy = -0.314 eV/atom
Energy = -3.326 eV per atom
Total magnetic moment = 0.0 μB/f.u.

```
RbCaGa2Pt
1.0
5.002 0.000 0.000
0.000 5.002 0.000
0.000 0.000 5.563
Rb Ca Ga Pt
1 1 2 1
direct
0.000 0.000 0.000
0.500 0.500 0.000
0.000 0.500 0.500
0.500 0.000 0.500
0.500 0.500 0.500
```


The following is a PBE calculation of a relaxed Ca2Ga4PtRh3 crystal, from Alexandria via LeMat-Bulk.

Computed properties:
ρ = 7.697 g cm⁻³
Calculated formation energy = -0.749 eV/atom
Energy = -5.170 eV per atom
Total magnetic moment = 0.0 μB/f.u.

```
Ca2Ga4PtRh3
1.0
4.243 0.000 0.000
0.000 4.243 0.000
0.000 0.000 10.341
Ca Ga Pt Rh
2 4 1 3
direct
0.000 0.500 0.244
0.500 0.000 0.756
0.000 0.000 0.500
0.000 0.500 0.869
0.500 0.000 0.131
0.500 0.500 0.500
0.500 0.500 0.000
0.000 0.000 0.000
0.000 0.500 0.630
0.500 0.000 0.370
```


The following is a PBE calculation of a relaxed Ca2Ga4Pt3Rh crystal, from Alexandria via LeMat-Bulk.

Computed properties:
ρ = 9.135 g cm⁻³
Calculated formation energy = -0.868 eV/atom
Energy = -5.026 eV per atom
Total magnetic moment = 0.0 μB/f.u.

```
Ca2Ga4Pt3Rh
1.0
4.267 0.000 0.000
0.000 4.267 0.000
0.000 0.000 10.456
Ca Ga Pt Rh
2 4 3 1
direct
0.000 0.500 0.242
0.500 0.000 0.758
0.000 0.000 0.500
0.000 0.500 0.874
0.500 0.000 0.126
0.500 0.500 0.500
0.000 0.000 0.000
0.000 0.500 0.635
0.500 0.000 0.365
0.500 0.500 0.000
```


The following is a PBE calculation of a relaxed CaScGa2Pt5 crystal, from Alexandria via LeMat-Bulk.

Computed properties:
ρ = 10.630 g cm⁻³
Calculated formation energy = -0.730 eV/atom
Energy = -5.685 eV per atom
Total magnetic moment = 0.0 μB/f.u.

```
CaScGa2Pt5
1.0
3.979 0.000 0.000
0.000 3.979 0.000
0.000 0.000 11.836
Ca Sc Ga Pt
1 1 2 5
direct
0.000 0.000 0.000
0.000 0.000 0.500
0.500 0.500 0.206
0.500 0.500 0.794
0.000 0.500 0.339
0.000 0.500 0.661
0.500 0.000 0.339
0.500 0.000 0.661
0.500 0.500 0.000
```


Q: Which formula does entry 4 have?
A: Ca2PuGa3Pt4